# MgSi2Os

A relaxed MgSi2Os crystal (GGA-PBE, the Alexandria database).

a = 6.8699 Å, b = 6.8699 Å, c = 4.5811 Å
α = 101.94°, β = 101.94°, γ = 136.36°
Atoms (fractional coordinates):
Mg  0.1075  0.8925  0.0000
Mg  0.8925  0.1075  0.0000
Si  0.2482  0.7518  0.5000
Si  0.4056  0.4056  0.6875
Si  0.5944  0.5944  0.3125
Si  0.7518  0.2482  0.5000
Os  0.3299  0.6701  0.0000
Os  0.6701  0.3299  0.0000

Computed properties:
Density of states at the Fermi level in states/eV/atom: 0.03
Total energy in eV/atom: -6.2096
Energy relative to the elements, uncorrected in eV/f.u.: -1.2

---

# Hf2BeZnC

A relaxed Hf2BeZnC crystal (GGA-PBE, the Alexandria database).

a = 6.0950 Å, b = 3.3656 Å, c = 7.4528 Å
α = 90.00°, β = 107.58°, γ = 90.00°
Atoms (fractional coordinates):
Hf  0.1849  0.2500  0.3828
Hf  0.2121  0.2500  0.9700
Hf  0.7879  0.7500  0.0300
Hf  0.8151  0.7500  0.6172
Be  0.4541  0.7500  0.2498
Be  0.5459  0.2500  0.7502
Zn  0.2994  0.7500  0.6971
Zn  0.7006  0.2500  0.3029
C  0.1645  0.7500  0.1716
C  0.8355  0.2500  0.8284

Computed properties:
Distance to the lowest polymorph of the same formula in eV/atom: 0.000
Density of states at the Fermi level in states/eV/atom: 0.42
E_form in eV per formula unit: -2.01
Total energy in eV/atom: -7.2282

---

# AcZnIn2

A relaxed AcZnIn2 crystal (GGA-PBE, the Alexandria database).

a = 3.7388 Å, b = 3.7388 Å, c = 7.7556 Å
α = 90.00°, β = 90.00°, γ = 90.00°
Atoms (fractional coordinates):
Ac  0.0000  0.0000  0.0000
Zn  0.0000  0.0000  0.5000
In  0.5000  0.5000  0.3031
In  0.5000  0.5000  0.6969

Computed properties:
Distance to the lowest polymorph of the same formula in eV/atom: 0.227
Density of states at the Fermi level in states/eV/atom: 0.70
E_form in eV per formula unit: -0.73
Total energy in eV/atom: -2.8979

---

# LaReCl2

A relaxed LaReCl2 crystal (GGA-PBE, the Alexandria database).

a = 5.0096 Å, b = 5.0096 Å, c = 5.0096 Å
α = 60.00°, β = 60.00°, γ = 60.00°
Atoms (fractional coordinates):
La  0.0000  0.0000  0.0000
Re  0.5000  0.5000  0.5000
Cl  0.2500  0.2500  0.2500
Cl  0.7500  0.7500  0.7500

Computed properties:
Distance to the lowest polymorph of the same formula in eV/atom: 0.484
Density of states at the Fermi level in states/eV/atom: 0.26
Total energy in eV/atom: -5.2534
Energy relative to the elements, uncorrected in eV/f.u.: 0.1

---

# ScMnSi2

A relaxed ScMnSi2 crystal (GGA-PBE, the Alexandria database).

a = 5.0769 Å, b = 5.0769 Å, c = 5.0769 Å
α = 136.55°, β = 136.55°, γ = 63.14°
Atoms (fractional coordinates):
Sc  0.0000  0.0000  0.0000
Mn  0.2500  0.7500  0.5000
Si  0.5000  0.5000  0.0000
Si  0.7500  0.2500  0.5000

Computed properties:
Density of states at the Fermi level in states/eV/atom: 0.42
Total energy in eV/atom: -6.9145
Energy relative to the elements, uncorrected in eV/f.u.: -1.3

---

# NdEuSiAg

A relaxed NdEuSiAg crystal (GGA-PBE, the Alexandria database).

a = 5.2443 Å, b = 5.2443 Å, c = 5.2443 Å
α = 60.00°, β = 60.00°, γ = 60.00°
Atoms (fractional coordinates):
Nd  0.0000  0.0000  0.0000
Eu  0.5000  0.5000  0.5000
Si  0.2500  0.2500  0.2500
Ag  0.7500  0.7500  0.7500

Computed properties:
Density of states at the Fermi level in states/eV/atom: 2.13
Total energy in eV/atom: -6.2340
Energy relative to the elements, uncorrected in eV/f.u.: -1.6

---

# RePRh2Cl

A relaxed RePRh2Cl crystal (GGA-PBE, the Alexandria database).

a = 4.3170 Å, b = 4.3170 Å, c = 4.5594 Å
α = 90.00°, β = 90.00°, γ = 90.00°
Atoms (fractional coordinates):
Re  0.0000  0.0000  0.0000
P  0.5000  0.5000  0.0000
Rh  0.0000  0.5000  0.5000
Rh  0.5000  0.0000  0.5000
Cl  0.5000  0.5000  0.5000

Computed properties:
Density of states at the Fermi level in states/eV/atom: 1.22
Total energy in eV/atom: -5.2933
Energy relative to the elements, uncorrected in eV/f.u.: 7.9

---

# Pm6BiC2

A relaxed Pm6BiC2 crystal (GGA-PBE, the Alexandria database).

a = 9.1044 Å, b = 9.1044 Å, c = 6.7631 Å
α = 92.95°, β = 92.95°, γ = 63.81°
Atoms (fractional coordinates):
Pm  0.0247  0.7494  0.8099
Pm  0.0363  0.3695  0.6915
Pm  0.2506  0.9753  0.6901
Pm  0.3391  0.3935  0.0731
Pm  0.3695  0.0363  0.1915
Pm  0.3935  0.3391  0.5731
Pm  0.6065  0.6609  0.4269
Pm  0.6305  0.9637  0.8085
Pm  0.6609  0.6065  0.9269
Pm  0.7494  0.0247  0.3099
Pm  0.9637  0.6305  0.3085
Pm  0.9753  0.2506  0.1901
Bi  0.1932  0.8068  0.2500
Bi  0.8068  0.1932  0.7500
C  0.1731  0.3378  0.3455
C  0.3378  0.1731  0.8455
C  0.6622  0.8269  0.1545
C  0.8269  0.6622  0.6545

Computed properties:
Density of states at the Fermi level in states/eV/atom: 0.95
E_form in eV per formula unit: -1.07
Total energy in eV/atom: -5.7673

---

# Be2SBr

A relaxed Be2SBr crystal (GGA-PBE, the Alexandria database).

a = 6.2210 Å, b = 6.2210 Å, c = 6.2210 Å
α = 130.72°, β = 130.72°, γ = 72.25°
Atoms (fractional coordinates):
Be  0.0569  0.6250  0.9319
Be  0.3750  0.3069  0.4319
Be  0.6931  0.1250  0.0681
Be  0.8750  0.9431  0.5681
S  0.0000  0.0000  0.0000
S  0.7500  0.2500  0.5000
Br  0.2500  0.7500  0.5000
Br  0.5000  0.5000  0.0000

Computed properties:
Distance to the lowest polymorph of the same formula in eV/atom: 0.464
Density of states at the Fermi level in states/eV/atom: 0.52
Total energy in eV/atom: -3.5540
Energy relative to the elements, uncorrected in eV/f.u.: -1.0

---

# La2Al

A relaxed La2Al crystal (GGA-PBE, the Alexandria database).

a = 6.4124 Å, b = 6.4124 Å, c = 6.4124 Å
α = 60.00°, β = 60.00°, γ = 60.00°
Atoms (fractional coordinates):
La  0.0000  0.0000  0.0000
La  0.0000  0.0000  0.5000
La  0.0000  0.5000  0.0000
La  0.5000  0.0000  0.0000
Al  0.3750  0.3750  0.3750
Al  0.6250  0.6250  0.6250

Computed properties:
Density of states at the Fermi level in states/eV/atom: 1.48
E_form in eV per formula unit: 0.96
Total energy in eV/atom: -4.2127

---

# NbBiH3

A relaxed NbBiH3 crystal (GGA-PBE, the Alexandria database).

a = 4.0882 Å, b = 4.0882 Å, c = 4.0882 Å
α = 90.00°, β = 90.00°, γ = 90.00°
Atoms (fractional coordinates):
Nb  0.0000  0.0000  0.0000
Bi  0.5000  0.5000  0.5000
H  0.0000  0.5000  0.5000
H  0.5000  0.0000  0.5000
H  0.5000  0.5000  0.0000

Computed properties:
Distance to the lowest polymorph of the same formula in eV/atom: 1.046
Density of states at the Fermi level in states/eV/atom: 0.71
Total energy in eV/atom: -3.5117

---

# UNiN

A relaxed UNiN crystal (GGA-PBE, the Alexandria database).

a = 4.1352 Å, b = 4.1352 Å, c = 4.1352 Å
α = 126.58°, β = 126.58°, γ = 78.93°
Atoms (fractional coordinates):
U  0.0000  0.0000  0.0000
Ni  0.3850  0.3850  0.0000
N  0.6838  0.6838  0.0000

Computed properties:
Density of states at the Fermi level in states/eV/atom: 1.52
Total energy in eV/atom: -8.5165
Energy relative to the elements, uncorrected in eV/f.u.: -0.2

---

# Sc2NbCd2

A relaxed Sc2NbCd2 crystal (GGA-PBE, the Alexandria database).

a = 8.1097 Å, b = 8.1097 Å, c = 3.2742 Å
α = 90.00°, β = 90.00°, γ = 90.00°
Atoms (fractional coordinates):
Sc  0.1770  0.3230  0.0000
Sc  0.3230  0.8230  0.0000
Sc  0.6770  0.1770  0.0000
Sc  0.8230  0.6770  0.0000
Nb  0.0000  0.0000  0.5000
Nb  0.5000  0.5000  0.5000
Cd  0.1247  0.6247  0.5000
Cd  0.3753  0.1247  0.5000
Cd  0.6247  0.8753  0.5000
Cd  0.8753  0.3753  0.5000

Computed properties:
Density of states at the Fermi level in states/eV/atom: 1.06
E_form in eV per formula unit: 0.59
Total energy in eV/atom: -4.7949

---

# CeAl4Co

A relaxed CeAl4Co crystal (GGA-PBE, the Alexandria database).

a = 7.6101 Å, b = 4.0445 Å, c = 6.8125 Å
α = 90.00°, β = 90.00°, γ = 90.00°
Atoms (fractional coordinates):
Ce  0.2500  0.0000  0.1155
Ce  0.7500  0.0000  0.8845
Al  0.0000  0.0000  0.5000
Al  0.0691  0.5000  0.8022
Al  0.2500  0.5000  0.4551
Al  0.4309  0.5000  0.8022
Al  0.5000  0.0000  0.5000
Al  0.5691  0.5000  0.1978
Al  0.7500  0.5000  0.5449
Al  0.9309  0.5000  0.1978
Co  0.2500  0.0000  0.6940
Co  0.7500  0.0000  0.3060

Computed properties:
Density of states at the Fermi level in states/eV/atom: 0.98
E_form in eV per formula unit: -2.97
Total energy in eV/atom: -5.1632

---

# PdI2N

A relaxed PdI2N crystal (GGA-PBE, the Alexandria database).

a = 7.4988 Å, b = 7.4988 Å, c = 7.4988 Å
α = 136.09°, β = 136.09°, γ = 63.84°
Atoms (fractional coordinates):
Pd  0.0000  0.0000  0.0000
Pd  0.7500  0.2500  0.5000
I  0.1769  0.6250  0.0519
I  0.3750  0.4269  0.5519
I  0.5731  0.1250  0.9481
I  0.8750  0.8231  0.4481
N  0.2500  0.7500  0.5000
N  0.5000  0.5000  0.0000

Computed properties:
Distance to the lowest polymorph of the same formula in eV/atom: 0.000
Density of states at the Fermi level in states/eV/atom: 1.80
Total energy in eV/atom: -3.1111
Energy relative to the elements, uncorrected in eV/f.u.: 4.2

---

# Ba3CaTe4

A relaxed Ba3CaTe4 crystal (GGA-PBE, the Alexandria database).

a = 8.4859 Å, b = 9.8102 Å, c = 8.4812 Å
α = 90.00°, β = 109.51°, γ = 90.00°
Atoms (fractional coordinates):
Ba  0.0000  0.1232  0.2500
Ba  0.0000  0.3717  0.7500
Ba  0.0000  0.6283  0.2500
Ba  0.0000  0.8768  0.7500
Ba  0.5000  0.3723  0.2500
Ba  0.5000  0.6277  0.7500
Ca  0.5000  0.1216  0.7500
Ca  0.5000  0.8784  0.2500
Te  0.2575  0.3655  0.5103
Te  0.2575  0.6345  0.0103
Te  0.2691  0.1150  0.9979
Te  0.2691  0.8850  0.4979
Te  0.7309  0.1150  0.5021
Te  0.7309  0.8850  0.0021
Te  0.7425  0.3655  0.9897
Te  0.7425  0.6345  0.4897

Computed properties:
Distance to the lowest polymorph of the same formula in eV/atom: 0.000
Density of states at the Fermi level in states/eV/atom: 0.00
Total energy in eV/atom: -4.2684
Energy relative to the elements, uncorrected in eV/f.u.: -13.8

---

# PaSi2Tc

A relaxed PaSi2Tc crystal (GGA-PBE, the Alexandria database).

a = 6.6380 Å, b = 6.6380 Å, c = 6.6380 Å
α = 40.78°, β = 40.78°, γ = 40.78°
Atoms (fractional coordinates):
Pa  0.0000  0.0000  0.0000
Si  0.3733  0.3733  0.3733
Si  0.6267  0.6267  0.6267
Tc  0.5000  0.5000  0.5000

Computed properties:
Distance to the lowest polymorph of the same formula in eV/atom: 1.823
Density of states at the Fermi level in states/eV/atom: 1.16
Total energy in eV/atom: -6.4866
Energy relative to the elements, uncorrected in eV/f.u.: 4.8

---

# LiHf3Os

A relaxed LiHf3Os crystal (GGA-PBE, the Alexandria database).

a = 5.0602 Å, b = 5.0602 Å, c = 5.0602 Å
α = 90.00°, β = 90.00°, γ = 90.00°
Atoms (fractional coordinates):
Li  0.0000  0.0000  0.0000
Hf  0.0000  0.5000  0.5000
Hf  0.5000  0.0000  0.5000
Hf  0.5000  0.5000  0.0000
Os  0.5000  0.5000  0.5000

Computed properties:
Distance to the lowest polymorph of the same formula in eV/atom: 0.000
Density of states at the Fermi level in states/eV/atom: 1.15
E_form in eV per formula unit: 2.18
Total energy in eV/atom: -8.1647

---

# Rb3Pr3NpTe8

A relaxed Rb3Pr3NpTe8 crystal (GGA-PBE, the Alexandria database).

a = 10.2269 Å, b = 10.2269 Å, c = 10.2269 Å
α = 53.57°, β = 53.57°, γ = 53.57°
Atoms (fractional coordinates):
Rb  0.0000  0.5000  0.5000
Rb  0.5000  0.0000  0.5000
Rb  0.5000  0.5000  0.0000
Pr  0.0000  0.0000  0.5000
Pr  0.0000  0.5000  0.0000
Pr  0.5000  0.0000  0.0000
Np  0.5000  0.5000  0.5000
Te  0.2356  0.2356  0.2356
Te  0.2443  0.7271  0.7271
Te  0.2729  0.2729  0.7557
Te  0.2729  0.7557  0.2729
Te  0.7271  0.2443  0.7271
Te  0.7271  0.7271  0.2443
Te  0.7557  0.2729  0.2729
Te  0.7644  0.7644  0.7644

Computed properties:
Density of states at the Fermi level in states/eV/atom: 0.21
Total energy in eV/atom: -4.9261
Energy relative to the elements, uncorrected in eV/f.u.: -18.6

---

# Ta2AlCd

A relaxed Ta2AlCd crystal (GGA-PBE, the Alexandria database).

a = 2.8532 Å, b = 4.4216 Å, c = 5.6975 Å
α = 90.00°, β = 90.00°, γ = 90.00°
Atoms (fractional coordinates):
Ta  0.0000  0.0000  0.2395
Ta  0.0000  0.0000  0.7605
Al  0.5000  0.5000  0.0000
Cd  0.5000  0.5000  0.5000

Computed properties:
Distance to the lowest polymorph of the same formula in eV/atom: 0.037
Density of states at the Fermi level in states/eV/atom: 0.46
E_form in eV per formula unit: 0.24
Total energy in eV/atom: -7.0301